Record 1
## NpSi2Os (PBE)

Data for a geometry-optimized NpSi2Os structure.

Output
VASP energy: -9.1292 eV/atom
energy relative to the elements, uncorrected: -0.38 eV/atom
density: 11.67 g/cm³

Cell: 6.6946 4.1057 10.0090 Å, 90.00 90.00 90.00°
Atoms (fractional coordinates):
Np 0.1680 0.2500 0.1305
Np 0.3320 0.7500 0.6305
Np 0.6680 0.2500 0.3695
Np 0.8320 0.7500 0.8695
Si 0.1354 0.2500 0.8249
Si 0.2097 0.2500 0.4191
Si 0.2903 0.7500 0.9191
Si 0.3646 0.7500 0.3249
Si 0.6354 0.2500 0.6751
Si 0.7097 0.2500 0.0809
Si 0.7903 0.7500 0.5809
Si 0.8646 0.7500 0.1751
Os 0.0080 0.7500 0.3913
Os 0.4920 0.2500 0.8913
Os 0.5080 0.7500 0.1087
Os 0.9920 0.2500 0.6087

Record 2
## Tl2AsIrPd (PBE)

Data for a geometry-optimized Tl2AsIrPd structure.

Output
VASP energy: -3.6215 eV/atom
DFT formation energy: 1.066 eV/atom
density: 9.72 g/cm³

Cell: 5.3816 5.3816 4.6152 Å, 90.00 90.00 90.00°
Atoms (fractional coordinates):
Tl 0.0000 0.5000 0.0000
Tl 0.5000 0.0000 0.0000
As 0.0000 0.0000 0.0000
Ir 0.5000 0.5000 0.5000
Pd 0.0000 0.0000 0.5000

Record 3
## Sm4Ho3Te8 (PBE)

Data for a geometry-optimized Sm4Ho3Te8 structure.

Output
VASP energy: -5.2369 eV/atom
energy relative to the elements, uncorrected: -1.39 eV/atom
density: 7.41 g/cm³

Cell: 8.7514 8.7514 8.7508 Å, 119.96 119.96 90.04°
Atoms (fractional coordinates):
Sm 0.0000 0.0000 0.0000
Sm 0.0000 0.0000 0.5000
Sm 0.0000 0.5000 0.0000
Sm 0.5000 0.0000 0.0000
Ho 0.0000 0.5000 0.5000
Ho 0.5000 0.0000 0.5000
Ho 0.5000 0.5000 0.0000
Te 0.2529 0.7471 0.0000
Te 0.2579 0.7421 0.5000
Te 0.2608 0.2608 0.0157
Te 0.2609 0.2609 0.5058
Te 0.7391 0.7391 0.4942
Te 0.7392 0.7392 0.9843
Te 0.7421 0.2579 0.5000
Te 0.7471 0.2529 0.0000